Arrangement i

# Sc2CoIr PBEsol optimized geometry
# Fermi-level density of states	4.84	states/eV per cell
data_Sc2CoIr
_symmetry_space_group_name_H-M 'F m -3 m'
_symmetry_Int_Tables_number 225
_symmetry_space_group_name_Hall '-F 4 2 3'
_cell_length_a 6.280
_cell_length_b 6.280
_cell_length_c 6.280
_cell_angle_alpha 90.00
_cell_angle_beta 90.00
_cell_angle_gamma 90.00
loop_
_atom_site_label
_atom_site_type_symbol
_atom_site_fract_x
_atom_site_fract_y
_atom_site_fract_z
Sc1 Sc 0.250 0.250 0.250
Co1 Co 0.000 0.000 0.000
Ir1 Ir 0.000 0.000 0.500

=====

Arrangement ii

# Sc2CoIr PBEsol optimized geometry
# Fermi-level density of states	1.30	states/eV per cell
data_Sc2CoIr
_symmetry_space_group_name_H-M 'P 4/m m m'
_symmetry_Int_Tables_number 123
_symmetry_space_group_name_Hall '-P 4 2'
_cell_length_a 3.136
_cell_length_b 3.136
_cell_length_c 6.279
_cell_angle_alpha 90.00
_cell_angle_beta 90.00
_cell_angle_gamma 90.00
loop_
_atom_site_label
_atom_site_type_symbol
_atom_site_fract_x
_atom_site_fract_y
_atom_site_fract_z
Sc1 Sc 0.000 0.000 0.242
Co1 Co 0.500 0.500 0.000
Ir1 Ir 0.500 0.500 0.500

=====

Which one sits at the bottom of the stability order? arrangement ii does.

=====

Arrangement i

# CoSi2Ir PBEsol optimized geometry
# Fermi-level density of states	3.01	states/eV per cell
data_CoSi2Ir
_symmetry_space_group_name_H-M 'P 4 m m'
_symmetry_Int_Tables_number 99
_cell_length_a 2.685
_cell_length_b 2.685
_cell_length_c 7.026
_cell_angle_alpha 90.00
_cell_angle_beta 90.00
_cell_angle_gamma 90.00
loop_
_symmetry_equiv_pos_as_xyz
'x,y,z'
'-y,x,z'
'-x,-y,z'
'y,-x,z'
'-x,y,z'
'y,x,z'
'x,-y,z'
'-y,-x,z'
loop_
_atom_site_label
_atom_site_type_symbol
_atom_site_fract_x
_atom_site_fract_y
_atom_site_fract_z
Co1 Co 0.000 0.000 0.000
Si1 Si 0.000 0.000 0.495
Si2 Si 0.500 0.500 0.802
Ir1 Ir 0.500 0.500 0.265

=====

Arrangement ii

# CoSi2Ir PBEsol optimized geometry
# Fermi-level density of states	10.95	states/eV per cell
data_CoSi2Ir
_symmetry_space_group_name_H-M 'F -4 3 m'
_symmetry_Int_Tables_number 216
_symmetry_space_group_name_Hall 'F -4 2 3'
_cell_length_a 5.857
_cell_length_b 5.857
_cell_length_c 5.857
_cell_angle_alpha 90.00
_cell_angle_beta 90.00
_cell_angle_gamma 90.00
loop_
_atom_site_label
_atom_site_type_symbol
_atom_site_fract_x
_atom_site_fract_y
_atom_site_fract_z
Co1 Co 0.000 0.000 0.000
Si1 Si 0.000 0.000 0.500
Si2 Si 0.250 0.250 0.250
Ir1 Ir 0.250 0.250 0.750

=====

Which one sits at the bottom of the stability order? arrangement ii does.

=====

Arrangement i

# TaCo2Ir PBEsol optimized geometry
# Fermi-level density of states	7.46	states/eV per cell
data_TaCo2Ir
_symmetry_space_group_name_H-M 'I -4 m 2'
_symmetry_Int_Tables_number 119
_symmetry_space_group_name_Hall 'I -4 -2'
_cell_length_a 3.703
_cell_length_b 3.703
_cell_length_c 7.539
_cell_angle_alpha 90.00
_cell_angle_beta 90.00
_cell_angle_gamma 90.00
loop_
_atom_site_label
_atom_site_type_symbol
_atom_site_fract_x
_atom_site_fract_y
_atom_site_fract_z
Ta1 Ta 0.000 0.000 0.000
Co1 Co 0.000 0.000 0.500
Co2 Co 0.000 0.500 0.250
Ir1 Ir 0.000 0.500 0.750

=====

Arrangement ii

# TaCo2Ir PBEsol optimized geometry
# Fermi-level density of states	4.58	states/eV per cell
data_TaCo2Ir
_symmetry_space_group_name_H-M 'P 4 m m'
_symmetry_Int_Tables_number 99
_cell_length_a 3.108
_cell_length_b 3.108
_cell_length_c 5.425
_cell_angle_alpha 90.00
_cell_angle_beta 90.00
_cell_angle_gamma 90.00
loop_
_symmetry_equiv_pos_as_xyz
'x,y,z'
'-y,x,z'
'-x,-y,z'
'y,-x,z'
'-x,y,z'
'y,x,z'
'x,-y,z'
'-y,-x,z'
loop_
_atom_site_label
_atom_site_type_symbol
_atom_site_fract_x
_atom_site_fract_y
_atom_site_fract_z
Ta1 Ta 0.000 0.000 0.000
Co1 Co 0.000 0.000 0.448
Co2 Co 0.500 0.500 0.250
Ir1 Ir 0.500 0.500 0.715

=====

Which one sits at the bottom of the stability order? arrangement ii does.

=====

Arrangement i

# CoTc2Ir PBEsol optimized geometry
# Fermi-level density of states	32.80	states/eV per cell
data_CoTc2Ir
_symmetry_space_group_name_H-M 'F m -3 m'
_symmetry_Int_Tables_number 225
_symmetry_space_group_name_Hall '-F 4 2 3'
_cell_length_a 5.994
_cell_length_b 5.994
_cell_length_c 5.994
_cell_angle_alpha 90.00
_cell_angle_beta 90.00
_cell_angle_gamma 90.00
loop_
_atom_site_label
_atom_site_type_symbol
_atom_site_fract_x
_atom_site_fract_y
_atom_site_fract_z
Co1 Co 0.000 0.000 0.000
Tc1 Tc 0.250 0.250 0.250
Ir1 Ir 0.000 0.000 0.500

=====

Arrangement ii

# CoTc2Ir PBEsol optimized geometry
# Fermi-level density of states	2.82	states/eV per cell
data_CoTc2Ir
_symmetry_space_group_name_H-M 'P m m 2'
_symmetry_Int_Tables_number 25
_cell_length_a 2.656
_cell_length_b 4.201
_cell_length_c 4.652
_cell_angle_alpha 90.00
_cell_angle_beta 90.00
_cell_angle_gamma 90.00
loop_
_symmetry_equiv_pos_as_xyz
'x,y,z'
'-x,-y,z'
'-x,y,z'
'x,-y,z'
loop_
_atom_site_label
_atom_site_type_symbol
_atom_site_fract_x
_atom_site_fract_y
_atom_site_fract_z
Co1 Co 0.000 0.000 0.000
Tc1 Tc 0.500 0.000 0.484
Tc2 Tc 0.500 0.500 0.154
Ir1 Ir 0.000 0.500 0.672

=====

Which one sits at the bottom of the stability order? arrangement i does.